Entry 1:
DFT (PBEsol) results for a relaxed structure of LaTePb2N.

CIF file:
```
data_LaTePb2N
_chemical_formula_sum 'La1 Te1 Pb2 N1'
_symmetry_space_group_name_H-M 'P 4/m m m'
_symmetry_Int_Tables_number 123
_symmetry_space_group_name_Hall '-P 4 2'
_cell_length_a 5.8779
_cell_length_b 5.8779
_cell_length_c 5.9439
_cell_angle_alpha 90.00
_cell_angle_beta 90.00
_cell_angle_gamma 90.00
loop_
_atom_site_label
_atom_site_fract_x
_atom_site_fract_y
_atom_site_fract_z
La1 0.0000 0.0000 0.0000
Te1 0.0000 0.0000 0.5000
Pb1 0.0000 0.5000 0.5000
N1 0.5000 0.5000 0.0000
```

Results
Total energy (eV/f.u.): -19.4


Entry 2:
DFT (PBEsol) results for a relaxed structure of LaTe2PdN.

CIF file:
```
data_LaTe2PdN
_chemical_formula_sum 'La1 Te2 Pd1 N1'
_symmetry_space_group_name_H-M 'P 4/m m m'
_symmetry_Int_Tables_number 123
_symmetry_space_group_name_Hall '-P 4 2'
_cell_length_a 6.1914
_cell_length_b 6.1914
_cell_length_c 3.9353
_cell_angle_alpha 90.00
_cell_angle_beta 90.00
_cell_angle_gamma 90.00
loop_
_atom_site_label
_atom_site_fract_x
_atom_site_fract_y
_atom_site_fract_z
La1 0.0000 0.0000 0.0000
Te1 0.0000 0.5000 0.0000
Pd1 0.5000 0.5000 0.5000
N1 0.0000 0.0000 0.5000
```

Results
Total energy (eV/f.u.): -23.8


Entry 3:
DFT (PBEsol) results for a relaxed structure of LaPt3N.

CIF file:
```
data_LaPt3N
_chemical_formula_sum 'La1 Pt3 N1'
_symmetry_space_group_name_H-M 'P m -3 m'
_symmetry_Int_Tables_number 221
_symmetry_space_group_name_Hall '-P 4 2 3'
_cell_length_a 5.1763
_cell_length_b 5.1763
_cell_length_c 5.1763
_cell_angle_alpha 90.00
_cell_angle_beta 90.00
_cell_angle_gamma 90.00
loop_
_atom_site_label
_atom_site_fract_x
_atom_site_fract_y
_atom_site_fract_z
La1 0.0000 0.0000 0.0000
Pt1 0.0000 0.0000 0.5000
N1 0.5000 0.5000 0.5000
```

Results
Total energy (eV/f.u.): -23.3


Entry 4:
DFT (PBEsol) results for a relaxed structure of LaPtS2N.

CIF file:
```
data_LaPtS2N
_chemical_formula_sum 'La1 Pt1 S2 N1'
_symmetry_space_group_name_H-M 'P 4/m m m'
_symmetry_Int_Tables_number 123
_symmetry_space_group_name_Hall '-P 4 2'
_cell_length_a 5.4231
_cell_length_b 5.4231
_cell_length_c 4.0194
_cell_angle_alpha 90.00
_cell_angle_beta 90.00
_cell_angle_gamma 90.00
loop_
_atom_site_label
_atom_site_fract_x
_atom_site_fract_y
_atom_site_fract_z
La1 0.0000 0.0000 0.0000
Pt1 0.5000 0.5000 0.5000
S1 0.0000 0.5000 0.0000
N1 0.0000 0.0000 0.5000
```

Results
E above lowest polymorph (meV/atom): 1686


Entry 5:
DFT (PBEsol) results for a relaxed structure of LaPtS2N.

CIF file:
```
data_LaPtS2N
_chemical_formula_sum 'La1 Pt1 S2 N1'
_symmetry_space_group_name_H-M 'P 4/m m m'
_symmetry_Int_Tables_number 123
_symmetry_space_group_name_Hall '-P 4 2'
_cell_length_a 4.9029
_cell_length_b 4.9029
_cell_length_c 3.7589
_cell_angle_alpha 90.00
_cell_angle_beta 90.00
_cell_angle_gamma 90.00
loop_
_atom_site_label
_atom_site_fract_x
_atom_site_fract_y
_atom_site_fract_z
La1 0.0000 0.0000 0.0000
Pt1 0.5000 0.5000 0.5000
S1 0.0000 0.5000 0.5000
N1 0.5000 0.5000 0.0000
```

Results
E above lowest polymorph (meV/atom): 0


Entry 6:
DFT (PBEsol) results for a relaxed structure of LaTePtN2.

CIF file:
```
data_LaTePtN2
_chemical_formula_sum 'La1 Te1 Pt1 N2'
_symmetry_space_group_name_H-M 'P 4/m m m'
_symmetry_Int_Tables_number 123
_symmetry_space_group_name_Hall '-P 4 2'
_cell_length_a 4.2373
_cell_length_b 4.2373
_cell_length_c 5.1802
_cell_angle_alpha 90.00
_cell_angle_beta 90.00
_cell_angle_gamma 90.00
loop_
_atom_site_label
_atom_site_fract_x
_atom_site_fract_y
_atom_site_fract_z
La1 0.0000 0.0000 0.0000
Te1 0.5000 0.5000 0.0000
Pt1 0.5000 0.5000 0.5000
N1 0.0000 0.5000 0.5000
```

Results
Total energy (eV/f.u.): -30.4


Entry 7:
DFT (PBEsol) results for a relaxed structure of LaReN3.

CIF file:
```
data_LaReN3
_chemical_formula_sum 'La1 Re1 N3'
_symmetry_space_group_name_H-M 'P m -3 m'
_symmetry_Int_Tables_number 221
_symmetry_space_group_name_Hall '-P 4 2 3'
_cell_length_a 3.9313
_cell_length_b 3.9313
_cell_length_c 3.9313
_cell_angle_alpha 90.00
_cell_angle_beta 90.00
_cell_angle_gamma 90.00
loop_
_atom_site_label
_atom_site_fract_x
_atom_site_fract_y
_atom_site_fract_z
La1 0.0000 0.0000 0.0000
Re1 0.5000 0.5000 0.5000
N1 0.0000 0.5000 0.5000
```

Results
Total energy (eV/f.u.): -48.8


Entry 8:
DFT (PBEsol) results for a relaxed structure of LaReN3.

CIF file:
```
data_LaReN3
_chemical_formula_sum 'La4 Re4 N12'
_symmetry_space_group_name_H-M 'P 1 21/c 1'
_symmetry_Int_Tables_number 14
_cell_length_a 6.9970
_cell_length_b 5.3158
_cell_length_c 11.1433
_cell_angle_alpha 90.00
_cell_angle_beta 120.82
_cell_angle_gamma 90.00
loop_
_symmetry_equiv_pos_as_xyz
'x,y,z'
'-x,-y,-z'
'-x,y+1/2,-z+1/2'
'x,-y+1/2,z+1/2'
loop_
_atom_site_label
_atom_site_fract_x
_atom_site_fract_y
_atom_site_fract_z
La1 0.2237 0.2092 0.3359
Re1 0.0943 0.7202 0.0067
N1 0.0346 0.5209 0.6192
N2 0.0912 0.5037 0.1528
N3 0.3616 0.6925 0.0303
```

Results
Total energy (eV/f.u.): -48.2


Entry 9:
DFT (PBEsol) results for a relaxed structure of LaReN3.

CIF file:
```
data_LaReN3
_chemical_formula_sum 'La6 Re6 N18'
_symmetry_space_group_name_H-M 'R -3 c'
_symmetry_Int_Tables_number 167
_symmetry_space_group_name_Hall '-R 3 2"c'
_cell_length_a 5.5686
_cell_length_b 5.5686
_cell_length_c 13.5433
_cell_angle_alpha 90.00
_cell_angle_beta 90.00
_cell_angle_gamma 120.00
loop_
_atom_site_label
_atom_site_fract_x
_atom_site_fract_y
_atom_site_fract_z
La1 0.0000 0.0000 0.2500
Re1 0.0000 0.0000 0.0000
N1 0.0000 0.4619 0.2500
```

Results
Total energy (eV/f.u.): -48.9


Entry 10:
DFT (PBEsol) results for a relaxed structure of LaScReN2.

CIF file:
```
data_LaScReN2
_chemical_formula_sum 'La1 Sc1 Re1 N2'
_symmetry_space_group_name_H-M 'P 4/m m m'
_symmetry_Int_Tables_number 123
_symmetry_space_group_name_Hall '-P 4 2'
_cell_length_a 4.1973
_cell_length_b 4.1973
_cell_length_c 4.8762
_cell_angle_alpha 90.00
_cell_angle_beta 90.00
_cell_angle_gamma 90.00
loop_
_atom_site_label
_atom_site_fract_x
_atom_site_fract_y
_atom_site_fract_z
La1 0.0000 0.0000 0.0000
Sc1 0.5000 0.5000 0.5000
Re1 0.5000 0.5000 0.0000
N1 0.0000 0.5000 0.5000
```

Results
Total energy (eV/f.u.): -38.2


Entry 11:
DFT (PBEsol) results for a relaxed structure of LaRhSN2.

CIF file:
```
data_LaRhSN2
_chemical_formula_sum 'La1 Rh1 S1 N2'
_symmetry_space_group_name_H-M 'P 4/m m m'
_symmetry_Int_Tables_number 123
_symmetry_space_group_name_Hall '-P 4 2'
_cell_length_a 3.9616
_cell_length_b 3.9616
_cell_length_c 4.6844
_cell_angle_alpha 90.00
_cell_angle_beta 90.00
_cell_angle_gamma 90.00
loop_
_atom_site_label
_atom_site_fract_x
_atom_site_fract_y
_atom_site_fract_z
La1 0.0000 0.0000 0.0000
Rh1 0.5000 0.5000 0.5000
S1 0.5000 0.5000 0.0000
N1 0.0000 0.5000 0.5000
```

Results
Total energy (eV/f.u.): -36.3


Entry 12:
DFT (PBEsol) results for a relaxed structure of LaRhSeN2.

CIF file:
```
data_LaRhSeN2
_chemical_formula_sum 'La1 Rh1 Se1 N2'
_symmetry_space_group_name_H-M 'P 4/m m m'
_symmetry_Int_Tables_number 123
_symmetry_space_group_name_Hall '-P 4 2'
_cell_length_a 4.0273
_cell_length_b 4.0273
_cell_length_c 4.8693
_cell_angle_alpha 90.00
_cell_angle_beta 90.00
_cell_angle_gamma 90.00
loop_
_atom_site_label
_atom_site_fract_x
_atom_site_fract_y
_atom_site_fract_z
La1 0.0000 0.0000 0.0000
Rh1 0.5000 0.5000 0.5000
Se1 0.5000 0.5000 0.0000
N1 0.0000 0.5000 0.5000
```

Results
Total energy (eV/f.u.): -34.7


Entry 13:
DFT (PBEsol) results for a relaxed structure of LaRuS2N.

CIF file:
```
data_LaRuS2N
_chemical_formula_sum 'La1 Ru1 S2 N1'
_symmetry_space_group_name_H-M 'P 4/m m m'
_symmetry_Int_Tables_number 123
_symmetry_space_group_name_Hall '-P 4 2'
_cell_length_a 4.8248
_cell_length_b 4.8248
_cell_length_c 3.7008
_cell_angle_alpha 90.00
_cell_angle_beta 90.00
_cell_angle_gamma 90.00
loop_
_atom_site_label
_atom_site_fract_x
_atom_site_fract_y
_atom_site_fract_z
La1 0.0000 0.0000 0.0000
Ru1 0.5000 0.5000 0.5000
S1 0.0000 0.5000 0.5000
N1 0.5000 0.5000 0.0000
```

Results
Total energy (eV/f.u.): -37.3


Entry 14:
DFT (PBEsol) results for a relaxed structure of LaSb2RuN.

CIF file:
```
data_LaSb2RuN
_chemical_formula_sum 'La1 Sb2 Ru1 N1'
_symmetry_space_group_name_H-M 'P 4/m m m'
_symmetry_Int_Tables_number 123
_symmetry_space_group_name_Hall '-P 4 2'
_cell_length_a 5.9574
_cell_length_b 5.9574
_cell_length_c 3.9094
_cell_angle_alpha 90.00
_cell_angle_beta 90.00
_cell_angle_gamma 90.00
loop_
_atom_site_label
_atom_site_fract_x
_atom_site_fract_y
_atom_site_fract_z
La1 0.0000 0.0000 0.0000
Sb1 0.0000 0.5000 0.0000
Ru1 0.5000 0.5000 0.5000
N1 0.0000 0.0000 0.5000
```

Results
Total energy (eV/f.u.): -26.1


Entry 15:
DFT (PBEsol) results for a relaxed structure of La3S3N.

CIF file:
```
data_La3S3N
_chemical_formula_sum 'La12 S12 N4'
_symmetry_space_group_name_H-M 'P n m a'
_symmetry_Int_Tables_number 62
_cell_length_a 11.9302
_cell_length_b 4.1480
_cell_length_c 13.0039
_cell_angle_alpha 90.00
_cell_angle_beta 90.00
_cell_angle_gamma 90.00
loop_
_symmetry_equiv_pos_as_xyz
'x,y,z'
'-x,-y,-z'
'-x+1/2,-y,z+1/2'
'x+1/2,y,-z+1/2'
'x+1/2,-y+1/2,-z+1/2'
'-x+1/2,y+1/2,z+1/2'
'-x,y+1/2,-z'
'x,-y+1/2,z'
loop_
_atom_site_label
_atom_site_fract_x
_atom_site_fract_y
_atom_site_fract_z
La1 0.0314 0.2500 0.1537
La2 0.1005 0.2500 0.6235
La3 0.2338 0.2500 0.8723
S1 0.0685 0.2500 0.3919
S2 0.1486 0.7500 0.0056
S3 0.2348 0.7500 0.7092
N1 0.0572 0.2500 0.7989
```

Results
Total energy (eV/f.u.): -52.4


Entry 16:
DFT (PBEsol) results for a relaxed structure of La4S3N2.

CIF file:
```
data_La4S3N2
_chemical_formula_sum 'La8 S6 N4'
_symmetry_space_group_name_H-M 'P n n m'
_symmetry_Int_Tables_number 58
_cell_length_a 6.4644
_cell_length_b 15.5280
_cell_length_c 4.0638
_cell_angle_alpha 90.00
_cell_angle_beta 90.00
_cell_angle_gamma 90.00
loop_
_symmetry_equiv_pos_as_xyz
'x,y,z'
'-x,-y,-z'
'-x,-y,z'
'x,y,-z'
'x+1/2,-y+1/2,-z+1/2'
'-x+1/2,y+1/2,z+1/2'
'-x+1/2,y+1/2,-z+1/2'
'x+1/2,-y+1/2,z+1/2'
loop_
_atom_site_label
_atom_site_fract_x
_atom_site_fract_y
_atom_site_fract_z
La1 0.2240 0.0655 0.0000
La2 0.2359 0.8435 0.5000
S1 0.0000 0.5000 0.0000
S2 0.2228 0.2004 0.5000
N1 0.1319 0.9159 0.0000
```

Results
Total energy (eV/f.u.): -69.5


Entry 17:
DFT (PBEsol) results for a relaxed structure of LaSnSN2.

CIF file:
```
data_LaSnSN2
_chemical_formula_sum 'La1 Sn1 S1 N2'
_symmetry_space_group_name_H-M 'P 4/m m m'
_symmetry_Int_Tables_number 123
_symmetry_space_group_name_Hall '-P 4 2'
_cell_length_a 4.1370
_cell_length_b 4.1370
_cell_length_c 4.9968
_cell_angle_alpha 90.00
_cell_angle_beta 90.00
_cell_angle_gamma 90.00
loop_
_atom_site_label
_atom_site_fract_x
_atom_site_fract_y
_atom_site_fract_z
La1 0.0000 0.0000 0.0000
Sn1 0.5000 0.5000 0.5000
S1 0.5000 0.5000 0.0000
N1 0.0000 0.5000 0.5000
```

Results
Total energy (eV/f.u.): -32.1


Entry 18:
DFT (PBEsol) results for a relaxed structure of La3SbN.

CIF file:
```
data_La3SbN
_chemical_formula_sum 'La6 Sb2 N2'
_symmetry_space_group_name_H-M 'P 63/m m c'
_symmetry_Int_Tables_number 194
_symmetry_space_group_name_Hall '-P 6c 2c'
_cell_length_a 7.0080
_cell_length_b 7.0080
_cell_length_c 5.8483
_cell_angle_alpha 90.00
_cell_angle_beta 90.00
_cell_angle_gamma 120.00
loop_
_atom_site_label
_atom_site_fract_x
_atom_site_fract_y
_atom_site_fract_z
La1 0.1656 0.3312 0.2500
Sb1 0.3333 0.6667 0.7500
N1 0.0000 0.0000 0.0000
```

Results
Total energy (eV/f.u.): -34.9


Entry 19:
DFT (PBEsol) results for a relaxed structure of LaSbSeN2.

CIF file:
```
data_LaSbSeN2
_chemical_formula_sum 'La1 Sb1 Se1 N2'
_symmetry_space_group_name_H-M 'P 4/m m m'
_symmetry_Int_Tables_number 123
_symmetry_space_group_name_Hall '-P 4 2'
_cell_length_a 4.1889
_cell_length_b 4.1889
_cell_length_c 5.1439
_cell_angle_alpha 90.00
_cell_angle_beta 90.00
_cell_angle_gamma 90.00
loop_
_atom_site_label
_atom_site_fract_x
_atom_site_fract_y
_atom_site_fract_z
La1 0.0000 0.0000 0.0000
Sb1 0.5000 0.5000 0.5000
Se1 0.5000 0.5000 0.0000
N1 0.0000 0.5000 0.5000
```

Results
Total energy (eV/f.u.): -31.0


Entry 20:
DFT (PBEsol) results for a relaxed structure of LaTc2SbN.

CIF file:
```
data_LaTc2SbN
_chemical_formula_sum 'La1 Tc2 Sb1 N1'
_symmetry_space_group_name_H-M 'P 4/m m m'
_symmetry_Int_Tables_number 123
_symmetry_space_group_name_Hall '-P 4 2'
_cell_length_a 4.9680
_cell_length_b 4.9680
_cell_length_c 4.1870
_cell_angle_alpha 90.00
_cell_angle_beta 90.00
_cell_angle_gamma 90.00
loop_
_atom_site_label
_atom_site_fract_x
_atom_site_fract_y
_atom_site_fract_z
La1 0.0000 0.0000 0.0000
Tc1 0.0000 0.5000 0.5000
Sb1 0.5000 0.5000 0.5000
N1 0.5000 0.5000 0.0000
```

Results
Total energy (eV/f.u.): -34.2